The following is a DFT calculation (PBE) of a geometry-optimized TaZnRh3 structure.

Cell lengths 4.7160, 4.7160, 4.7160 Å; angles 90.00, 90.00, 90.00 degrees
Fractional coordinates of all 5 atoms:
1 Zn 0.5000 0.5000 0.5000
2 Rh 0.0000 0.5000 0.0000
3 Rh 0.0000 0.0000 0.5000
4 Rh 0.5000 0.0000 0.0000
5 Ta 0.0000 0.0000 0.0000

Properties
The density of states at the Fermi level is 0.91 states/eV per cell. The distance to the lowest polymorph of the same formula comes out at 826 meV per atom. The calculation puts the energy of formation at 827 meV per atom.

---

The following is a DFT calculation (PBE) of a geometry-optimized TaZnRh2 structure.

Cell lengths 4.2887, 4.2887, 3.2656 Å; angles 90.00, 90.00, 90.00 degrees
Fractional coordinates of all 4 atoms:
1 Rh 0.0000 0.0000 0.0000
2 Rh 0.5000 0.5000 0.0000
3 Ta 0.5000 0.0000 0.5000
4 Zn 0.0000 0.5000 0.5000

Properties
The density of states at the Fermi level is 2.70 states/eV per cell. The calculation puts the energy of formation at -440 meV per atom.

---

Number 1: energy -0.2282 hartree per atom. Number 2: energy -0.2719 hartree per atom.